No. 1
A plane-wave DFT calculation with PBE was carried out for a relaxed structure of HfMoSe2.

POSCAR file:
```
HfMoSe2
1.0
6.531 0.000 0.000
0.000 6.531 0.000
0.000 0.000 6.531
Hf Mo Se
4 4 8
Cartesian
0.000 0.000 0.000
0.000 3.265 3.265
3.265 0.000 3.265
3.265 3.265 0.000
0.000 0.000 3.265
0.000 3.265 0.000
3.265 0.000 0.000
3.265 3.265 3.265
1.633 1.633 1.633
1.633 1.633 4.898
1.633 4.898 1.633
1.633 4.898 4.898
4.898 1.633 1.633
4.898 1.633 4.898
4.898 4.898 1.633
4.898 4.898 4.898
```

Summary:
The value obtained for the distance to the lowest polymorph of the same formula is 0 meV per atom. The calculation puts the electronic total energy at -7.30 eV/atom. Its space group is No. 225.


No. 2
A plane-wave DFT calculation with PBE was carried out for a relaxed structure of HfMoSe.

POSCAR file:
```
HfMoSe
1.0
9.576 0.000 0.000
0.000 3.377 0.000
-1.597 0.000 6.997
Hf Mo Se
4 4 4
Cartesian
0.000 0.000 0.000
1.213 0.000 4.276
4.788 1.689 0.000
6.001 1.689 4.276
1.592 1.689 1.939
4.054 0.000 2.440
6.380 0.000 1.939
8.842 1.689 2.440
-0.926 1.689 4.939
2.696 0.000 0.124
3.862 0.000 4.939
7.483 1.689 0.124
```

Summary:
The value obtained for the distance to the lowest polymorph of the same formula is 311 meV per atom. The calculation puts the electronic total energy at -8.49 eV/atom. Its space group is No. 8.


No. 3
A plane-wave DFT calculation with PBE was carried out for a relaxed structure of HfMoSe.

POSCAR file:
```
HfMoSe
1.0
3.232 0.000 0.000
0.000 4.603 0.000
0.000 0.000 7.220
Hf Mo Se
2 2 2
Cartesian
0.808 1.151 1.289
2.424 3.452 5.931
0.808 3.452 3.397
2.424 1.151 3.823
0.808 1.151 5.786
2.424 3.452 1.434
```

Summary:
The value obtained for the distance to the lowest polymorph of the same formula is 356 meV per atom. The calculation puts the electronic total energy at -8.45 eV/atom. Its space group is No. 59.


No. 4
A plane-wave DFT calculation with PBE was carried out for a relaxed structure of HfMoSe.

POSCAR file:
```
HfMoSe
1.0
10.092 0.000 0.000
0.000 3.391 0.000
-2.599 0.000 6.551
Hf Mo Se
4 4 4
Cartesian
0.440 0.000 1.707
2.007 1.696 4.843
5.486 1.696 1.707
7.053 0.000 4.843
-1.109 1.696 6.127
3.556 0.000 0.424
3.937 0.000 6.127
8.602 1.696 0.424
-0.167 0.000 4.416
2.613 1.696 2.135
4.880 1.696 4.416
7.660 0.000 2.135
```

Summary:
The value obtained for the distance to the lowest polymorph of the same formula is 286 meV per atom. The calculation puts the electronic total energy at -8.52 eV/atom. Its space group is No. 12.


> Look up the distance to the lowest polymorph of the same formula of the third one.

356 meV per atom